Pm2InAg | GGA-PBEsol | optimized geometry

Geometry as POSCAR:
```
Pm2InAg
1.0
0.000 3.736 3.736
3.736 0.000 3.736
3.736 3.736 0.000
Pm In Ag
2 1 1
Direct
0.250 0.250 0.250 Pm
0.750 0.750 0.750 Pm
0.000 0.000 0.000 In
0.500 0.500 0.500 Ag
```

Output
* formation enthalpy at 0 K: -1.52 eV per formula unit
* uncorrected energy: -18.1 eV per cell
* N(E_F): 4.75 states/eV per cell

PrInAg2 | GGA-PBEsol | optimized geometry

Geometry as POSCAR:
```
PrInAg2
1.0
0.000 3.515 3.515
3.515 0.000 3.515
3.515 3.515 0.000
Pr In Ag
1 1 2
Direct
0.000 0.000 0.000 Pr
0.500 0.500 0.500 In
0.250 0.250 0.250 Ag
0.750 0.750 0.750 Ag
```

Output
* formation enthalpy at 0 K: -1.53 eV per formula unit
* uncorrected energy: -16.3 eV per cell
* N(E_F): 1.46 states/eV per cell

In3AgPt | GGA-PBEsol | optimized geometry

Geometry as POSCAR:
```
In3AgPt
1.0
5.096 0.000 0.000
0.000 5.096 0.000
0.000 0.000 5.096
In Ag Pt
3 1 1
Direct
0.000 0.000 0.500 In
0.000 0.500 0.000 In
0.500 0.000 0.000 In
0.500 0.500 0.500 Ag
0.000 0.000 0.000 Pt
```

Output
* formation enthalpy at 0 K: 0.32 eV per formula unit
* uncorrected energy: -18.9 eV per cell
* N(E_F): 1.84 states/eV per cell

InAgPt2 | GGA-PBEsol | optimized geometry

Geometry as POSCAR:
```
InAgPt2
1.0
2.958 0.000 0.000
0.000 2.958 0.000
0.000 0.000 7.483
In Ag Pt
1 1 2
Direct
0.000 0.000 0.000 In
0.000 0.000 0.500 Ag
0.500 0.500 0.246 Pt
0.500 0.500 0.754 Pt
```

Output
* formation enthalpy at 0 K: -0.95 eV per formula unit
* uncorrected energy: -21.2 eV per cell
* N(E_F): 0.89 states/eV per cell